Ba2LiHg: optimized geometry, PBE.

The structure belongs to space group Imm2 (No. 44); the cell edges are 4.1588, 5.9641 and 12.2529 Å and the angles 90.00°, 90.00° and 90.00°. The inequivalent atoms are Ba at (0.0000, 0.0000, 0.0000), Ba at (0.0000, 0.5000, 0.1981), Li at (0.0000, 0.5000, 0.7982) and Hg at (0.0000, 0.0000, 0.4550).

The value obtained for the final energy is -13.8 eV for the cell shown. As for the formation enthalpy at 0 K: -0.212 eV per atom.